Sm5AlHg3 after structural relaxation. Source: Alexandria, functional PBE.

Unit cell a=6.6787 b=9.3073 c=9.3071 alpha=120.00 beta=90.00 gamma=90.00
Fractional coordinates of all 18 atoms:
Al (0.0000, 0.0000, 0.0000)
Sm (0.7500, 0.2823, 0.0000)
Sm (0.7500, 0.7177, 0.7177)
Sm (0.5000, 0.6666, 0.3333)
Sm (0.2500, 0.0000, 0.7177)
Hg (0.7500, 0.3771, 0.3771)
Sm (0.2500, 0.7177, 0.0000)
Al (0.5000, 0.0000, 0.0000)
Sm (0.0000, 0.6666, 0.3333)
Sm (0.7500, 0.0000, 0.2823)
Sm (0.2500, 0.2823, 0.2823)
Hg (0.7500, 0.6230, 0.0000)
Hg (0.2500, 0.6229, 0.6229)
Hg (0.7500, 0.9999, 0.6229)
Sm (0.5000, 0.3334, 0.6667)
Hg (0.2500, 0.0001, 0.3771)
Sm (0.0000, 0.3334, 0.6667)
Hg (0.2500, 0.3770, 0.0000)

ΔE_f ... -357 meV per atom
Space group ... P6_3/mcm, No. 193
Size of the total moment ... 0.000 μB/atom
DOS(E_F) ... 17.7 states/eV per cell
DFT total energy ... -62.92 eV/cell